(1)
A geometry-optimized Er4Pb2S structure. Source: the Alexandria database, functional GGA-PBE.

As for the formation energy without anion corrections: -0.74 eV per atom. The value obtained for the density is 9.201 Mg/m³. For the total DFT energy (no corrections), the calculation gives -35.0 eV per formula unit.

It has space group I4/mmm (No. 139), with a = 5.0158 Å, b = 5.0158 Å, c = 16.0034 Å, α = 90.00°, β = 90.00° and γ = 90.00°. The asymmetric unit holds Er at (0.0000, 0.0000, 0.1667), Er at (0.0000, 0.5000, 0.0000), Pb at (0.0000, 0.0000, 0.3611) and S at (0.0000, 0.0000, 0.0000).



(2)
A geometry-optimized Hf2CuHPd structure. Source: the Alexandria database, functional GGA-PBE.

The value obtained for the density is 12.016 Mg/m³. For the total DFT energy (no corrections), the calculation gives -33.9 eV per formula unit.

It has space group P4/mmm (No. 123), with a = 4.3421 Å, b = 4.3421 Å, c = 3.8698 Å, α = 90.00°, β = 90.00° and γ = 90.00°. The asymmetric unit holds Hf at (0.0000, 0.5000, 0.0000), Cu at (0.0000, 0.0000, 0.5000), H at (0.5000, 0.5000, 0.0000) and Pd at (0.5000, 0.5000, 0.5000).



(3)
A geometry-optimized CePmHg5 structure. Source: the Alexandria database, functional GGA-PBE.

The calculated formation energy comes out at -0.25 eV/atom. The value obtained for the density is 10.973 Mg/m³. For the total DFT energy (no corrections), the calculation gives -13.9 eV per formula unit.

It has space group P4/mmm (No. 123), with a = 5.2399 Å, b = 5.2399 Å, c = 7.0994 Å, α = 90.00°, β = 90.00° and γ = 90.00°. The asymmetric unit holds Ce at (0.0000, 0.0000, 0.0000), Pm at (0.5000, 0.5000, 0.5000), Hg at (0.0000, 0.5000, 0.2675) and Hg at (0.5000, 0.5000, 0.0000).



(4)
A geometry-optimized SmCdAu structure. Source: the Alexandria database, functional GGA-PBE.

The calculated formation energy comes out at -0.51 eV/atom. The value obtained for the density is 9.384 Mg/m³. For the total DFT energy (no corrections), the calculation gives -10.4 eV per formula unit.

It has space group F-43m (No. 216), with a = 6.8781 Å, b = 6.8781 Å, c = 6.8781 Å, α = 90.00°, β = 90.00° and γ = 90.00°. The asymmetric unit holds Sm at (0.0000, 0.0000, 0.0000), Cd at (0.0000, 0.0000, 0.5000) and Au at (0.2500, 0.2500, 0.7500).



(5)
A geometry-optimized LiPr2Pu structure. Source: the Alexandria database, functional GGA-PBE.

The calculated formation energy comes out at 0.16 eV/atom. The value obtained for the density is 7.380 Mg/m³. For the total DFT energy (no corrections), the calculation gives -25.2 eV per formula unit.

It has space group P4/mmm (No. 123), with a = 3.5442 Å, b = 3.5442 Å, c = 9.5428 Å, α = 90.00°, β = 90.00° and γ = 90.00°. The asymmetric unit holds Li at (0.0000, 0.0000, 0.0000), Pr at (0.5000, 0.5000, 0.2422) and Pu at (0.0000, 0.0000, 0.5000).



(6)
A geometry-optimized TlHgRhCl6 structure. Source: the Alexandria database, functional GGA-PBE.

As for the formation energy without anion corrections: -0.70 eV per atom. The value obtained for the density is 4.468 Mg/m³. For the total DFT energy (no corrections), the calculation gives -27.4 eV per formula unit.

It has space group P312 (No. 149), with a = 6.7320 Å, b = 6.7320 Å, c = 6.8238 Å, α = 90.00°, β = 90.00° and γ = 120.00°. The asymmetric unit holds Tl at (0.0000, 0.0000, 0.0000), Hg at (0.3333, 0.6667, 0.5000), Rh at (0.6667, 0.3333, 0.5000) and Cl at (0.3873, 0.0414, 0.7008).



(7)
A geometry-optimized Cd2W2S structure. Source: the Alexandria database, functional GGA-PBE.

As for the formation energy without anion corrections: 1.16 eV per atom. The value obtained for the density is 10.832 Mg/m³. For the total DFT energy (no corrections), the calculation gives -26.1 eV per formula unit.

It has space group I4/mmm (No. 139), with a = 3.6539 Å, b = 3.6539 Å, c = 14.3429 Å, α = 90.00°, β = 90.00° and γ = 90.00°. The asymmetric unit holds Cd at (0.0000, 0.5000, 0.2500), W at (0.0000, 0.0000, 0.0832) and S at (0.0000, 0.0000, 0.5000).



(8)
A geometry-optimized TbTl2Pt structure. Source: the Alexandria database, functional GGA-PBE.

The calculated formation energy comes out at 0.14 eV/atom. The value obtained for the density is 11.066 Mg/m³. For the total DFT energy (no corrections), the calculation gives -14.9 eV per formula unit.

It has space group R-3m (No. 166, hexagonal axes), with a = 3.6239 Å, b = 3.6239 Å, c = 30.1922 Å, α = 90.00°, β = 90.00° and γ = 120.00°. The asymmetric unit holds Tb at (0.0000, 0.0000, 0.0000), Tl at (0.0000, 0.0000, 0.1036) and Pt at (0.0000, 0.0000, 0.5000).



Number 1: total magnetic moment 0.00 μB/cell. Number 2: total magnetic moment 0.00 μB/cell. Number 3: total magnetic moment 1.20 μB/cell. Number 4: total magnetic moment 0.01 μB/cell. Number 5: total magnetic moment 5.98 μB/cell. Number 6: total magnetic moment 0.00 μB/cell. Number 7: total magnetic moment 0.00 μB/cell. Number 8: total magnetic moment 0.00 μB/cell.